First-principles (PBE) data for a relaxed TmTlCl3 crystal, as listed in OQMD.

```
TmTlCl3
1.0
6.014 -3.756 0.000
6.014 3.756 0.000
-1.627 0.000 6.637
Tm Tl Cl
2 2 6
Cartesian
0.000 0.000 0.000 Tm
-0.814 0.000 3.319 Tm
3.034 0.000 5.398 Tl
7.367 0.000 1.240 Tl
4.549 2.028 1.430 Cl
1.544 0.000 2.118 Cl
5.852 2.028 5.207 Cl
4.549 -2.028 1.430 Cl
8.856 0.000 4.519 Cl
5.852 -2.028 5.207 Cl
```

Output
Space-group type: No. 12
Electronic total energy, eV per atom: -4.03
Magnetic moment, μB per atom: 0.005


First-principles (PBE) data for a relaxed LiZn4Au crystal, as listed in OQMD.

```
LiZn4Au
1.0
4.416 0.000 0.000
0.000 4.210 2.389
0.000 -4.210 2.389
Li Zn Au
1 4 1
Cartesian
0.000 0.000 0.000 Li
0.000 -1.449 2.410 Zn
0.000 1.449 2.410 Zn
2.208 -1.398 3.969 Zn
2.208 1.398 3.969 Zn
2.208 0.000 1.562 Au
```

Output
Space-group type: No. 38
Electronic total energy, eV per atom: -1.93


First-principles (PBE) data for a relaxed KYBAu crystal, as listed in OQMD.

```
KYBAu
1.0
0.000 3.372 3.372
3.372 0.000 3.372
3.372 3.372 0.000
K Y B Au
1 1 1 1
Cartesian
0.000 0.000 0.000 K
1.686 1.686 1.686 Y
3.372 3.372 3.372 B
5.058 5.058 5.058 Au
```

Output
Space-group type: No. 216
Electronic total energy, eV per atom: -3.75
Magnetic moment, μB per atom: 0.000


First-principles (PBE) data for a relaxed GdMgAuS3 crystal, as listed in OQMD.

```
GdMgAuS3
1.0
1.876 -6.312 0.000
1.876 6.312 0.000
0.000 0.000 10.528
Gd Mg Au S
2 2 2 6
Cartesian
0.000 0.000 0.000 Gd
0.000 0.000 5.264 Gd
1.876 3.410 7.896 Mg
1.876 -3.410 2.632 Mg
1.876 0.272 2.632 Au
1.876 -0.272 7.896 Au
1.876 4.812 2.632 S
1.876 1.892 0.769 S
1.876 1.892 4.495 S
1.876 -1.892 6.033 S
1.876 -1.892 9.759 S
1.876 -4.812 7.896 S
```

Output
Space-group type: No. 63
Electronic total energy, eV per atom: -4.76
Magnetic moment, μB per atom: 0.002


First-principles (PBE) data for a relaxed Hf2In2Cu crystal, as listed in OQMD.

```
Hf2In2Cu
1.0
-1.965 1.965 7.400
1.965 -1.965 7.400
1.965 1.965 -7.400
Hf In Cu
2 2 1
Cartesian
1.965 0.000 3.700 Hf
0.000 1.965 3.700 Hf
0.000 0.000 1.346 In
0.000 0.000 13.455 In
0.000 0.000 7.400 Cu
```

Output
Space-group type: No. 139
Electronic total energy, eV per atom: -5.27
Magnetic moment, μB per atom: 0.000


First-principles (PBE) data for a relaxed UBiS4 crystal, as listed in OQMD.

```
UBiS4
1.0
6.569 0.000 0.000
0.000 4.037 0.000
-0.127 0.000 6.960
U Bi S
1 1 4
Cartesian
0.000 0.000 0.000 U
-0.063 2.018 3.480 Bi
1.294 2.018 5.962 S
1.409 0.000 2.167 S
5.034 0.000 4.793 S
5.148 2.018 0.998 S
```

Output
Space-group type: No. 10
Electronic total energy, eV per atom: -6.18
Magnetic moment, μB per atom: 0.165


First-principles (PBE) data for a relaxed TmInW crystal, as listed in OQMD.

```
TmInW
1.0
0.000 3.422 3.422
3.422 0.000 3.422
3.422 3.422 0.000
Tm In W
1 1 1
Cartesian
0.000 0.000 0.000 Tm
5.133 5.133 5.133 In
1.711 1.711 1.711 W
```

Output
Space-group type: No. 216
Electronic total energy, eV per atom: -5.42
Magnetic moment, μB per atom: 0.694


First-principles (PBE) data for a relaxed Y4Co3Mo2C3 crystal, as listed in OQMD.

```
Y4Co3Mo2C3
1.0
5.792 0.000 0.000
2.858 5.184 0.000
2.792 -0.436 13.604
Y Co Mo C
8 6 4 6
Cartesian
1.783 0.616 5.215 Y
3.258 4.338 1.541 Y
5.164 2.313 12.084 Y
4.812 2.479 5.249 Y
6.631 2.270 8.355 Y
6.278 2.435 1.520 Y
8.184 0.411 12.063 Y
9.660 4.133 8.389 Y
2.836 2.139 3.131 Co
4.297 1.133 9.801 Co
7.167 4.260 10.472 Co
4.276 0.489 3.131 Co
7.146 3.615 3.802 Co
8.607 2.609 10.472 Co
3.752 0.773 7.652 Mo
3.437 0.994 0.907 Mo
8.006 3.754 12.697 Mo
7.691 3.975 5.951 Mo
2.825 2.374 6.802 C
1.594 0.766 0.008 C
5.870 4.168 6.904 C
4.325 2.592 0.000 C
5.573 0.581 6.699 C
9.848 3.982 13.595 C
```

Output
Space-group type: No. 2
Electronic total energy, eV per atom: -8.16
Magnetic moment, μB per atom: 0.084